A plane-wave DFT calculation with PBE was carried out for Li8AlZn2 after structural relaxation.

Computed properties:
calculated density: 1.79 g cm⁻³
DOS(E_F): 10.7 states/eV/cell
energy of formation from the pure elements: -58 kJ/mol of formula units
energy above the most stable polymorph in this dataset: 0.000 eV/atom
total moment: 0.00 μB per cell

a b c (Å): 8.271 11.234 4.250
angles (deg): 90.00 90.00 90.00
Space group Cmmm (No. 65)
Symmetry-distinct sites (fractional):
Li  0.000  0.249  0.000 [4 per cell]
Li  0.167  0.000  0.000 [4 per cell]
Li  0.170  0.367  0.500 [8 per cell]
Al  0.000  0.500  0.000 [2 per cell]
Zn  0.000  0.112  0.500 [4 per cell]